# Li3Cr3FeO8

A relaxed Li3Cr3FeO8 crystal (PBE+U, Alexandria via LeMat-Bulk).

Properties
For the density, the calculation gives 4.11 Mg/m³. As for the polymorph energy (0 for the lowest one): 89.1 meV per atom. Its total magnetization is 0.600 μB/atom.

```
15
Lattice="5.087 -2.939 0.000 5.087 2.939 0.000 -3.438 0.000 4.870" Properties=species:S:1:pos:R:3 pbc="T T T"
Li 0.000 0.000 0.000
Li 2.544 1.469 0.000
Li 2.544 -1.469 0.000
Cr -1.719 0.000 2.435
Cr 0.825 1.469 2.435
Cr 0.825 -1.469 2.435
Fe 3.369 0.000 2.435
O -0.098 0.000 3.479
O 2.560 1.509 3.478
O 4.177 1.509 1.392
O 1.695 0.000 1.357
O 5.042 0.000 3.514
O 2.560 -1.509 3.478
O 4.177 -1.509 1.392
O 6.835 0.000 1.391
```